A plane-wave DFT calculation with PBE was carried out for an optimized crystal structure of H2SeCl.

Properties
distance to the lowest polymorph of the same formula = 0.0000 eV per atom
space-group type = P1
magnetic moment = 0.00 μB/f.u.
energy = -3.254 eV per atom

Cell lengths 4.4957, 7.1250, 7.4140 Å; angles 63.67, 72.46, 87.17 degrees
Last column: nearest neighbours and their distance in Å.
Fractional coordinates of all 8 atoms:
H 0.0000 0.0000 0.0000  1 Se 1.49
H 0.0827 0.5263 0.0351  1 Cl 1.32
H 0.7764 0.5726 0.4418  1 Se 1.49
H 0.8634 0.0412 0.4096  1 Cl 1.32
Se 0.1079 0.5907 0.3114  1 H 1.49
Se 0.1864 0.9650 0.1454  1 H 1.49
Cl 0.0969 0.4835 0.8764  1 H 1.32
Cl 0.7050 0.0898 0.5628  1 H 1.32